No. 1
! Pm12Tm5Tl2, relaxed, DFT PBE-GGA; values from VASP
! - E (eV per atom) = -4.407
! - SG = C2/m (12)
! - D(E_F) (states/eV/cell) = 27.732
&SYSTEM
  ibrav = 0, nat = 19, ntyp = 3
/
ATOMIC_SPECIES
Pm 145.00 Pm.upf
Tm 168.93 Tm.upf
Tl 204.38 Tl.upf
CELL_PARAMETERS angstrom
7.711 -4.680 0.000
7.711 4.680 0.000
-0.433 0.000 8.561
ATOMIC_POSITIONS crystal
Pm 0.056 0.056 0.320
Pm 0.072 0.681 0.346
Pm 0.163 0.534 0.766
Pm 0.319 0.928 0.654
Pm 0.415 0.415 0.115
Pm 0.466 0.837 0.234
Pm 0.534 0.163 0.766
Pm 0.585 0.585 0.885
Pm 0.681 0.072 0.346
Pm 0.837 0.466 0.234
Pm 0.928 0.319 0.654
Pm 0.944 0.944 0.680
Tm 0.185 0.185 0.004
Tm 0.267 0.267 0.414
Tm 0.500 0.500 0.500
Tm 0.733 0.733 0.586
Tm 0.815 0.815 0.996
Tl 0.182 0.818 0.000
Tl 0.818 0.182 0.000

***

No. 2
! TcAs2P, relaxed, DFT PBE-GGA; values from VASP
! - E (eV per atom) = -6.104
! - SG = C2/m (12)
! - D(E_F) (states/eV/cell) = 2.497
&SYSTEM
  ibrav = 0, nat = 4, ntyp = 3
/
ATOMIC_SPECIES
Tc 98.00 Tc.upf
As 74.92 As.upf
P 30.97 P.upf
CELL_PARAMETERS angstrom
5.945 -1.519 0.000
5.945 1.519 0.000
-0.878 0.000 3.861
ATOMIC_POSITIONS crystal
Tc 0.000 0.000 0.000
As 0.319 0.319 0.785
As 0.681 0.681 0.215
P 0.500 0.500 0.500